No. 1
A plane-wave DFT calculation with GGA-PBE was carried out for a relaxed structure of Na3LiZnReO6.

Lattice parameters (Å, degrees): 5.3016 5.3016 5.5352 99.26 99.26 119.80
Element x y z (fractional)
Na (0.0000, 0.0000, 0.0000)
Na (0.3265, 0.6735, 0.0000)
Na (0.6830, 0.3170, 0.0000)
Li (0.8373, 0.1627, 0.5000)
Zn (0.1684, 0.8316, 0.5000)
Re (0.5035, 0.4965, 0.5000)
O (0.1307, 0.4323, 0.2919)
O (0.2721, 0.2612, 0.7084)
O (0.4299, 0.1202, 0.2904)
O (0.5677, 0.8693, 0.7081)
O (0.7388, 0.7279, 0.2916)
O (0.8798, 0.5701, 0.7096)

Output
crystal system = monoclinic
calculated density = 5.5 g/cm³
E_tot = -0.2110 Ha/atom

---

No. 2
A plane-wave DFT calculation with GGA-PBE was carried out for a relaxed structure of DyPdO3.

Lattice parameters (Å, degrees): 5.3238 5.3238 5.3238 65.05 65.05 65.05
Element x y z (fractional)
Dy (0.2500, 0.2500, 0.2500)
Dy (0.7500, 0.7500, 0.7500)
Pd (0.0000, 0.0000, 0.0000)
Pd (0.5000, 0.5000, 0.5000)
O (0.1360, 0.7500, 0.3640)
O (0.2500, 0.6360, 0.8640)
O (0.3640, 0.1360, 0.7500)
O (0.6360, 0.8640, 0.2500)
O (0.7500, 0.3640, 0.1360)
O (0.8640, 0.2500, 0.6360)

Output
crystal system = trigonal
calculated density = 8.9 g/cm³
E_tot = -0.2488 Ha/atom

---

No. 3
A plane-wave DFT calculation with GGA-PBE was carried out for a relaxed structure of Rb3TmBr6.

Lattice parameters (Å, degrees): 8.1439 8.1439 8.1439 62.67 62.67 62.67
Element x y z (fractional)
Rb (0.0000, 0.0000, 0.0000)
Rb (0.2728, 0.2728, 0.2728)
Rb (0.7272, 0.7272, 0.7272)
Tm (0.5000, 0.5000, 0.5000)
Br (0.1756, 0.7038, 0.3755)
Br (0.2962, 0.6245, 0.8244)
Br (0.3755, 0.1756, 0.7038)
Br (0.6245, 0.8244, 0.2962)
Br (0.7038, 0.3755, 0.1756)
Br (0.8244, 0.2962, 0.6245)

Output
crystal system = trigonal
calculated density = 3.7 g/cm³
E_tot = -0.1311 Ha/atom

---

No. 4
A plane-wave DFT calculation with GGA-PBE was carried out for a relaxed structure of LaHoIn2Pt4.

Lattice parameters (Å, degrees): 4.6220 4.6220 9.2358 90.00 90.00 120.00
Element x y z (fractional)
La (0.0000, 0.0000, 0.0000)
Ho (0.6667, 0.3333, 0.5000)
In (0.3333, 0.6667, 0.2581)
In (0.3333, 0.6667, 0.7419)
Pt (0.0000, 0.0000, 0.3466)
Pt (0.0000, 0.0000, 0.6534)
Pt (0.6667, 0.3333, 0.1707)
Pt (0.6667, 0.3333, 0.8293)

Output
crystal system = hexagonal
calculated density = 12.8 g/cm³
E_tot = -0.2148 Ha/atom

---

No. 5
A plane-wave DFT calculation with GGA-PBE was carried out for a relaxed structure of PmPt4Au.

Lattice parameters (Å, degrees): 5.3763 5.3763 5.3763 60.00 60.00 60.00
Element x y z (fractional)
Pm (0.0000, 0.0000, 0.0000)
Pt (0.1266, 0.6245, 0.6245)
Pt (0.6245, 0.1266, 0.6245)
Pt (0.6245, 0.6245, 0.1266)
Pt (0.6245, 0.6245, 0.6245)
Au (0.2500, 0.2500, 0.2500)

Output
formation enthalpy at 0 K = -0.72 eV/atom
crystal system = cubic
calculated density = 17.0 g/cm³

---

No. 6
A plane-wave DFT calculation with GGA-PBE was carried out for a relaxed structure of Y2SnOs2.

Lattice parameters (Å, degrees): 5.1965 5.1965 4.8250 90.00 90.00 90.00
Element x y z (fractional)
Y (0.0000, 0.5000, 0.0000)
Y (0.5000, 0.0000, 0.0000)
Sn (0.0000, 0.0000, 0.5000)
Os (0.5000, 0.5000, 0.2497)
Os (0.5000, 0.5000, 0.7503)

Output
crystal system = tetragonal
calculated density = 8.6 g/cm³
E_tot = -0.2816 Ha/atom

---

What is the calculated density in the fourth record? 12.8 g/cm³

---

What is the calculated density in the fourth record? 12.8 g/cm³

---

The lowest calculated density belongs to which entry? Rb3TmBr6